The following is a PBE-GGA calculation of a geometry-optimized LaTmMg2Cd4 structure, from Alexandria.

a = 9.0025 Å, b = 9.0025 Å, c = 9.0025 Å
α = 33.20°, β = 33.20°, γ = 33.20°
Positions (direct):
La 0.0000 0.0000 0.0000
Tm 0.5000 0.5000 0.5000
Mg 0.2489 0.2489 0.2489
Mg 0.7511 0.7511 0.7511
Cd 0.1287 0.1287 0.1287
Cd 0.3802 0.3802 0.3802
Cd 0.6198 0.6198 0.6198
Cd 0.8713 0.8713 0.8713

Values from the calculation:
The calculation puts the raw total energy at -18.70 eV for the cell shown. The value obtained for the formation energy from the elements is -237 kJ/mol of formula units. The space group is No. 166.